CsTl2As: optimized geometry, PBE.

formation enthalpy at 0 K = -89 meV per atom
SG = No. 123
energy above the lowest structure with this stoichiometry = 85 meV/atom
Fermi-level density of states = 0.264 states/eV per atom

Unit cell a=3.945 b=3.945 c=8.639 alpha=90.00 beta=90.00 gamma=90.00
Sites, in units of the cell vectors:
Tl: 0.000 0.000 0.817
As: 0.500 0.500 0.000
Cs: 0.500 0.500 0.500
Tl: 0.000 0.000 0.183

---

Cs3VAs: optimized geometry, PBE.

formation enthalpy at 0 K = 960 meV per atom
SG = No. 221
Fermi-level density of states = 1.510 states/eV per atom

Unit cell a=6.508 b=6.508 c=6.508 alpha=90.00 beta=90.00 gamma=90.00
Site moments in Bohr magnetons follow the coordinates.
Sites, in units of the cell vectors:
Cs: 0.500 0.000 0.000  0.07
V: 0.000 0.000 0.000  3.46
Cs: 0.000 0.000 0.500  0.07
Cs: 0.000 0.500 0.000  0.07
As: 0.500 0.500 0.500  0.40

---

CsVAs3: optimized geometry, PBE.

formation enthalpy at 0 K = 2059 meV per atom
SG = No. 221
energy above the lowest structure with this stoichiometry = 2087 meV/atom
Fermi-level density of states = 1.765 states/eV per atom

Unit cell a=5.623 b=5.623 c=5.623 alpha=90.00 beta=90.00 gamma=90.00
Site moments in Bohr magnetons follow the coordinates.
Sites, in units of the cell vectors:
Cs: 0.000 0.000 0.000  -0.03
As: 0.000 0.500 0.000  -0.16
V: 0.500 0.500 0.500  3.03
As: 0.500 0.000 0.000  -0.16
As: 0.000 0.000 0.500  -0.16

---

CsV2As: optimized geometry, PBE.

formation enthalpy at 0 K = 1113 meV per atom
SG = No. 225
Fermi-level density of states = 1.171 states/eV per atom

Unit cell a=4.769 b=4.769 c=4.769 alpha=60.00 beta=60.00 gamma=60.00
Site moments in Bohr magnetons follow the coordinates.
Sites, in units of the cell vectors:
Cs: 0.500 0.500 0.500  0.10
As: 0.000 0.000 0.000  -0.10
V: 0.250 0.250 0.250  1.81
V: 0.750 0.750 0.750  1.81

---

Listing uncorrected energy for the structures above in their given order: -2.6479 -2.3062 -2.7252 -4.8218 eV/atom.